Material: NaSrLa2Fe
Method: DFT, PBE-GGA
State: optimized geometry

uncorrected energy: -4.120 eV per atom
volume: 34.8 Å³ per atom
D(E_F): 5.14 states/eV/cell
ΔE_f: 0.144 eV per atom

Lattice parameters (Å, degrees): 5.236 5.236 6.353 90.00 90.00 90.00
Space group P4/mmm (No. 123)
One atom of each set of equivalent atoms:
1 Na 0.000 0.000 0.000 (multiplicity 1)
2 Sr 0.500 0.500 0.000 (multiplicity 1)
3 La 0.000 0.500 0.500 (multiplicity 2)
4 Fe 0.500 0.500 0.500 (multiplicity 1)